Entry 1:
Er2Th2Ir2Pt: relaxed, PBE.

Summary:
Total magnetic moment, μB per formula unit: 0.0
Crystal system: monoclinic
Calculated formation energy, meV per atom: -855.4

abc: 7.3143 7.3143 7.7663
angles: 116.25 116.25 30.33
Positions (direct):
1 Er 0.2163 0.2163 0.2971
2 Er 0.7837 0.7837 0.7029
3 Th 0.4617 0.4617 0.2462
4 Th 0.5383 0.5383 0.7538
5 Ir 0.1158 0.1158 0.5524
6 Ir 0.8842 0.8842 0.4476
7 Pt 0.0000 0.0000 0.0000

***

Entry 2:
Tl5SeO: relaxed, PBE.

Summary:
Total magnetic moment, μB per formula unit: 0.0
Crystal system: triclinic
Energy, eV per atom: -3.192

abc: 6.8620 7.0865 10.0264
angles: 110.45 103.56 91.41
Positions (direct):
1 Tl 0.0315 0.2930 0.3425
2 Tl 0.1924 0.6321 0.9945
3 Tl 0.3023 0.1796 0.8006
4 Tl 0.4003 0.7672 0.4688
5 Tl 0.4495 0.2874 0.1819
6 Tl 0.5505 0.7126 0.8181
7 Tl 0.5997 0.2328 0.5312
8 Tl 0.6977 0.8204 0.1994
9 Tl 0.8076 0.3679 0.0055
10 Tl 0.9685 0.7070 0.6575
11 Se 0.0000 0.0000 0.0000
12 Se 0.0000 0.0000 0.5000
13 O 0.4012 0.6360 0.2204
14 O 0.5988 0.3640 0.7796

***

Entry 3:
MgSbF3: relaxed, PBE.

Summary:
Relative energy among the computed polymorphs, meV per atom: 0
Total magnetic moment, μB per formula unit: 0.0
Crystal system: cubic

abc: 4.1285 4.1285 4.1285
angles: 90.00 90.00 90.00
Positions (direct):
1 Mg 0.0000 0.0000 0.0000
2 Sb 0.5000 0.5000 0.5000
3 F 0.0000 0.0000 0.5000
4 F 0.0000 0.5000 0.0000
5 F 0.5000 0.0000 0.0000

***

Entry 4:
YHg2Cl: relaxed, PBE.

Summary:
Relative energy among the computed polymorphs, meV per atom: 115
Total magnetic moment, μB per formula unit: 0.0
Crystal system: tetragonal

abc: 6.4554 6.4554 6.4554
angles: 142.82 142.82 53.59
Positions (direct):
1 Y 0.0000 0.0000 0.0000
2 Hg 0.2500 0.7500 0.5000
3 Hg 0.7500 0.2500 0.5000
4 Cl 0.5000 0.5000 0.0000

***

Entry 5:
CsTcOs2I: relaxed, PBE.

Summary:
Total magnetic moment, μB per formula unit: 2.5
Crystal system: tetragonal
Energy, eV per atom: -5.317

abc: 4.7761 4.7761 7.1505
angles: 90.00 90.00 90.00
Positions (direct):
1 Cs 0.0000 0.0000 0.0000
2 Tc 0.0000 0.0000 0.5000
3 Os 0.0000 0.5000 0.5000
4 Os 0.5000 0.0000 0.5000
5 I 0.5000 0.5000 0.0000

***

Entry 6:
Al3WS: relaxed, PBE.

Summary:
Relative energy among the computed polymorphs, meV per atom: 138
Total magnetic moment, μB per formula unit: 2.5
Crystal system: cubic

abc: 4.9732 4.9732 4.9732
angles: 90.00 90.00 90.00
Positions (direct):
1 Al 0.0000 0.0000 0.5000
2 Al 0.0000 0.5000 0.0000
3 Al 0.5000 0.0000 0.0000
4 W 0.0000 0.0000 0.0000
5 S 0.5000 0.5000 0.5000

***

Entry 7:
LaAsPBr2: relaxed, PBE.

Summary:
Relative energy among the computed polymorphs, meV per atom: 0
Total magnetic moment, μB per formula unit: 0.2
Crystal system: tetragonal

abc: 4.9354 4.9354 5.3630
angles: 90.00 90.00 90.00
Positions (direct):
1 La 0.0000 0.0000 0.0000
2 As 0.5000 0.5000 0.0000
3 P 0.5000 0.5000 0.5000
4 Br 0.0000 0.5000 0.5000
5 Br 0.5000 0.0000 0.5000

***

Entry 8:
ZrReWBr2: relaxed, PBE.

Summary:
Total magnetic moment, μB per formula unit: 3.2
Crystal system: tetragonal
Energy, eV per atom: -5.654

abc: 4.8670 4.8670 5.3203
angles: 90.00 90.00 90.00
Positions (direct):
1 Zr 0.0000 0.0000 0.0000
2 Re 0.0000 0.0000 0.5000
3 W 0.5000 0.5000 0.0000
4 Br 0.0000 0.5000 0.5000
5 Br 0.5000 0.0000 0.5000

***

Entry 9:
TiFeSnH2: relaxed, PBE.

Summary:
Total magnetic moment, μB per formula unit: 0.0
Crystal system: tetragonal
Energy, eV per atom: -4.502

abc: 3.5077 3.5077 6.0167
angles: 90.00 90.00 90.00
Positions (direct):
1 Ti 0.0000 0.0000 0.0000
2 Fe 0.5000 0.5000 0.0000
3 Sn 0.0000 0.0000 0.5000
4 H 0.0000 0.5000 0.5000
5 H 0.5000 0.0000 0.5000

***

Entry 10:
La3CeHo2Sb6: relaxed, PBE.

Summary:
Total magnetic moment, μB per formula unit: 0.6
Crystal system: monoclinic
Energy, eV per atom: -5.732

abc: 7.8271 7.8271 7.8336
angles: 99.60 99.60 120.00
Positions (direct):
1 La 0.0000 0.0000 0.0000
2 La 0.3345 0.6655 0.0000
3 La 0.6655 0.3345 0.0000
4 Ce 0.5000 0.5000 0.5000
5 Ho 0.1669 0.8331 0.5000
6 Ho 0.8331 0.1669 0.5000
7 Sb 0.0843 0.4206 0.2621
8 Sb 0.2423 0.2423 0.7363
9 Sb 0.4206 0.0843 0.2621
10 Sb 0.5794 0.9157 0.7379
11 Sb 0.7577 0.7577 0.2637
12 Sb 0.9157 0.5794 0.7379

***

Entry 11:
BaLaCuO3: relaxed, PBE.

Summary:
Total magnetic moment, μB per formula unit: 0.0
Crystal system: orthorhombic
Energy, eV per atom: -6.690

abc: 7.1657 7.1657 8.5669
angles: 90.00 90.00 147.57
Positions (direct):
1 Ba 0.1920 0.8080 0.7500
2 Ba 0.8080 0.1920 0.2500
3 La 0.5000 0.5000 0.0000
4 La 0.5000 0.5000 0.5000
5 Cu 0.1126 0.8874 0.2500
6 Cu 0.8874 0.1126 0.7500
7 O 0.1117 0.8883 0.0386
8 O 0.1117 0.8883 0.4614
9 O 0.4245 0.5755 0.2500
10 O 0.5755 0.4245 0.7500
11 O 0.8883 0.1117 0.5386
12 O 0.8883 0.1117 0.9614

***

Entry 12:
Al13Si5H14ClO34F4: relaxed, PBE.

Summary:
Total magnetic moment, μB per formula unit: 0.1
Crystal system: triclinic
Energy, eV per atom: -6.638

abc: 9.8658 9.8913 9.8924
angles: 60.59 60.35 60.20
Positions (direct):
1 Al 0.0000 0.0000 0.0000
2 Al 0.9996 0.2946 0.0036
3 Al 0.0039 0.6581 0.3368
4 Al 0.0129 0.3185 0.6526
5 Al 0.3597 0.2992 0.3417
6 Al 0.3609 0.2978 0.6404
7 Al 0.3629 0.0052 0.6349
8 Al 0.7021 0.3120 0.6347
9 Al 0.7062 0.6657 0.6180
10 Al 0.7068 0.2803 0.0113
11 Al 0.9935 0.0061 0.6370
12 Al 0.9985 0.3018 0.3416
13 Al 0.9987 0.6667 0.6328
14 Si 0.1100 0.9501 0.2895
15 Si 0.5174 0.8110 0.1523
16 Si 0.6511 0.9477 0.2879
17 Si 0.6518 0.4054 0.2922
18 Si 0.6526 0.9517 0.7478
19 H 0.1029 0.7178 0.7696
20 H 0.1073 0.7111 0.0515
21 H 0.1159 0.4136 0.0560
22 H 0.2588 0.1276 0.8990
23 H 0.2645 0.5600 0.3525
24 H 0.2775 0.1363 0.3078
25 H 0.2886 0.5839 0.5743
26 H 0.2889 0.8667 0.9243
27 H 0.4160 0.3914 0.0569
28 H 0.4167 0.4007 0.7703
29 H 0.4217 0.7161 0.7191
30 H 0.5517 0.5875 0.9355
31 H 0.7389 0.5591 0.8978
32 H 0.8241 0.5335 0.4109
33 Cl 0.2667 0.5639 0.9042
34 O 0.0386 0.3509 0.1248
35 O 0.0419 0.0623 0.1309
36 O 0.0426 0.7864 0.6897
37 O 0.0448 0.7908 0.4014
38 O 0.0468 0.0616 0.4033
39 O 0.0474 0.7833 0.1200
40 O 0.2182 0.2483 0.8611
41 O 0.2228 0.2510 0.3038
42 O 0.2227 0.5240 0.5952
43 O 0.2240 0.5203 0.3111
44 O 0.2237 0.9669 0.8609
45 O 0.2388 0.2388 0.5816
46 O 0.3145 0.8806 0.2185
47 O 0.4854 0.7853 0.6854
48 O 0.4868 0.3420 0.6890
49 O 0.4882 0.3442 0.1224
50 O 0.4898 0.0617 0.4008
51 O 0.4913 0.3399 0.4043
52 O 0.4926 0.0633 0.6804
53 O 0.5803 0.8751 0.9513
54 O 0.5807 0.6093 0.2186
55 O 0.5829 0.8792 0.2205
56 O 0.6665 0.5328 0.8772
57 O 0.6829 0.5163 0.5916
58 O 0.7632 0.0646 0.6870
59 O 0.7647 0.3375 0.1316
60 O 0.7652 0.3378 0.4043
61 O 0.7650 0.7912 0.6802
62 O 0.7661 0.0578 0.1275
63 O 0.7688 0.7956 0.3973
64 O 0.9368 0.2409 0.8794
65 O 0.9421 0.5158 0.3277
66 O 0.9433 0.2333 0.5840
67 O 0.9434 0.5412 0.5860
68 F 0.2179 0.9687 0.5962
69 F 0.6689 0.2605 0.8608
70 F 0.9447 0.5188 0.8613
71 F 0.9592 0.9715 0.8541

***

Entry 13:
Ba2HgPPt: relaxed, PBE.

Summary:
Relative energy among the computed polymorphs, meV per atom: 0
Total magnetic moment, μB per formula unit: 0.0
Crystal system: tetragonal
Calculated formation energy, meV per atom: -672.0

abc: 6.2427 6.2427 4.4370
angles: 90.00 90.00 90.00
Positions (direct):
1 Ba 0.0000 0.5000 0.0000
2 Ba 0.5000 0.0000 0.0000
3 Hg 0.0000 0.0000 0.5000
4 P 0.5000 0.5000 0.0000
5 Pt 0.5000 0.5000 0.5000

***

Entry 14:
TmH4Pd2Pt: relaxed, PBE.

Summary:
Total magnetic moment, μB per formula unit: 0.0
Crystal system: monoclinic
Energy, eV per atom: -4.751

abc: 4.7464 4.7464 5.1352
angles: 121.72 121.72 82.03
Positions (direct):
1 Tm 0.0000 0.0000 0.0000
2 H 0.1003 0.5110 0.0200
3 H 0.4890 0.8997 0.9800
4 H 0.4905 0.0942 0.5978
5 H 0.9058 0.5095 0.4022
6 Pd 0.4991 0.5009 0.0000
7 Pd 0.7505 0.2495 0.5000
8 Pt 0.2511 0.7489 0.5000

***

Entry 15:
LaPr2NdH: relaxed, PBE.

Summary:
Total magnetic moment, μB per formula unit: 0.0
Crystal system: tetragonal
Energy, eV per atom: -4.699

abc: 5.2324 5.2324 5.2204
angles: 90.00 90.00 90.00
Positions (direct):
1 La 0.0000 0.0000 0.0000
2 Pr 0.0000 0.5000 0.5000
3 Pr 0.5000 0.0000 0.5000
4 Nd 0.5000 0.5000 0.0000
5 H 0.5000 0.5000 0.5000